A relaxed structure of K2Cu2HgBr6, computed with GGA-PBE.

Calculated values
Energy = -0.100 Ha/atom
Fermi-level density of states = 1.12 states/eV/cell
Symmetry = C2/m
Crystal system = monoclinic

Cell lengths 7.687, 7.852, 7.778 Å; angles 116.22, 90.00, 119.31 degrees
Fractional coordinates of all 11 atoms:
Br: 0.309 0.117 0.808
Br: 0.808 0.117 0.808
Br: 0.754 0.507 0.648
Br: 0.192 0.883 0.192
Br: 0.691 0.883 0.192
Br: 0.246 0.493 0.352
Cu: 0.953 0.906 0.799
Cu: 0.047 0.094 0.201
K: 0.265 0.530 0.790
K: 0.735 0.470 0.210
Hg: 0.500 0.000 0.500